A plane-wave DFT calculation with PBE was carried out for a geometry-optimized LiReAu structure.

Formation energy from the elements: 10.58 kcal/mol of atoms
Excess energy over the best structure of this formula in the dataset: 217.2 meV per atom
Mass density: 14.24 g/cm3
Total DFT energy (no corrections): -5.421 eV per atom
Total magnetic moment: 0.95 μB per formula unit
D(E_F): 2.9 states/eV/cell

a = 4.486 Å, b = 4.486 Å, c = 2.611 Å
α = 90.00°, β = 90.00°, γ = 120.00°
Sites, in units of the cell vectors:
Li  0.000  0.000  0.000
Re  0.333  0.667  0.500
Au  0.667  0.333  0.000

A plane-wave DFT calculation with PBE was carried out for a geometry-optimized KSrZnCu2 structure.

Formation energy from the elements: 14.90 kcal/mol of atoms
Mass density: 2.67 g/cm3
Total DFT energy (no corrections): -1.803 eV per atom
Total magnetic moment: 0.00 μB per formula unit
D(E_F): 2.7 states/eV/cell

a = 5.730 Å, b = 5.730 Å, c = 6.037 Å
α = 90.00°, β = 90.00°, γ = 90.00°
Sites, in units of the cell vectors:
K  0.000  0.000  0.000
Sr  0.500  0.500  0.500
Zn  0.500  0.500  0.000
Cu  0.000  0.500  0.500
Cu  0.500  0.000  0.500

A plane-wave DFT calculation with PBE was carried out for a geometry-optimized MnFeCuIr structure.

Formation energy from the elements: 2.20 kcal/mol of atoms
Mass density: 11.52 g/cm3
Total DFT energy (no corrections): -7.552 eV per atom
Total magnetic moment: 6.98 μB per formula unit
D(E_F): 17.1 states/eV/cell

a = 5.956 Å, b = 5.956 Å, c = 5.956 Å
α = 90.00°, β = 90.00°, γ = 90.00°
Sites, in units of the cell vectors:
Mn  0.000  0.000  0.000
Mn  0.000  0.500  0.500
Mn  0.500  0.000  0.500
Mn  0.500  0.500  0.000
Fe  0.250  0.250  0.750
Fe  0.250  0.750  0.250
Fe  0.750  0.250  0.250
Fe  0.750  0.750  0.750
Cu  0.250  0.250  0.250
Cu  0.250  0.750  0.750
Cu  0.750  0.250  0.750
Cu  0.750  0.750  0.250
Ir  0.000  0.000  0.500
Ir  0.000  0.500  0.000
Ir  0.500  0.000  0.000
Ir  0.500  0.500  0.500

A plane-wave DFT calculation with PBE was carried out for a geometry-optimized Ca4PtPb structure.

Formation energy from the elements: -12.44 kcal/mol of atoms
Excess energy over the best structure of this formula in the dataset: 70.4 meV per atom
Mass density: 4.76 g/cm3
Total DFT energy (no corrections): -3.499 eV per atom
Total magnetic moment: 0.00 μB per formula unit
D(E_F): 10.7 states/eV/cell

a = 7.276 Å, b = 7.276 Å, c = 7.407 Å
α = 90.00°, β = 90.09°, γ = 90.00°
Sites, in units of the cell vectors:
Ca  0.250  0.250  0.232
Ca  0.250  0.250  0.768
Ca  0.250  0.750  0.232
Ca  0.250  0.750  0.768
Ca  0.750  0.250  0.232
Ca  0.750  0.250  0.768
Ca  0.750  0.750  0.232
Ca  0.750  0.750  0.768
Pt  0.000  0.000  0.000
Pt  0.500  0.500  0.000
Pb  0.000  0.500  0.500
Pb  0.500  0.000  0.500

A plane-wave DFT calculation with PBE was carried out for a geometry-optimized MgGeTeAu2 structure.

E_form (uncorrected): 0.46 eV per atom
Mass density: 7.61 g/cm3
Total DFT energy (no corrections): -2.725 eV per atom
Total magnetic moment: 0.00 μB per formula unit
D(E_F): 2.1 states/eV/cell

a = 4.946 Å, b = 4.946 Å, c = 5.518 Å
α = 90.00°, β = 90.00°, γ = 90.00°
Sites, in units of the cell vectors:
Mg  0.000  0.000  0.000
Ge  0.500  0.500  0.500
Te  0.000  0.000  0.500
Au  0.000  0.500  0.000
Au  0.500  0.000  0.000

A plane-wave DFT calculation with PBE was carried out for a geometry-optimized Tb3Zn4Hg4 structure.

Formation energy from the elements: -7.54 kcal/mol of atoms
Mass density: 10.58 g/cm3
Total DFT energy (no corrections): -2.163 eV per atom
Total magnetic moment: 0.00 μB per formula unit
D(E_F): 5.9 states/eV/cell

a = 3.597 Å, b = 4.680 Å, c = 14.658 Å
α = 99.07°, β = 97.04°, γ = 90.04°
Sites, in units of the cell vectors:
Tb  0.000  0.000  0.000
Tb  0.144  0.644  0.288
Tb  0.856  0.356  0.712
Zn  0.261  0.262  0.523
Zn  0.406  0.906  0.812
Zn  0.594  0.094  0.188
Zn  0.739  0.738  0.477
Hg  0.314  0.813  0.626
Hg  0.448  0.449  0.899
Hg  0.552  0.551  0.101
Hg  0.686  0.187  0.374